(1)
Sr2LiCd, optimized geometry, DFT GGA-PBEsol; space-group type = Cm (8); energy of formation = -0.5 eV/f.u.; density = 3.7 Mg/m³; crystal system = monoclinic; Fermi-level density of states = 3.37 states/eV/cell
1.0
6.207 -1.940 0.000
6.207 1.940 0.000
-1.994 0.000 5.480
Sr Li Cd
2 1 1
Cartesian
0.000 0.000 0.000
1.248 0.000 3.561
9.218 0.000 1.244
4.741 0.000 2.564

***

(2)
Sr2LiCd, optimized geometry, DFT GGA-PBEsol; space-group type = Amm2 (38); energy of formation = -0.6 eV/f.u.; density = 3.5 Mg/m³; crystal system = orthorhombic; Fermi-level density of states = 3.19 states/eV/cell
1.0
4.798 0.000 0.000
0.000 2.335 6.255
0.000 -2.335 6.255
Sr Li Cd
2 1 1
Cartesian
0.000 0.000 0.000
2.399 0.000 3.638
2.399 0.000 7.339
0.000 0.000 8.899

***

(3)
SrLi2Cd, optimized geometry, DFT GGA-PBEsol; space-group type = R3m (160); energy of formation = -0.5 eV/f.u.; density = 3.2 Mg/m³; crystal system = trigonal; Fermi-level density of states = 2.55 states/eV/cell
1.0
2.396 1.383 5.538
-2.396 1.383 5.538
0.000 -2.766 5.538
Sr Li Cd
1 2 1
Cartesian
0.000 0.000 0.000
0.000 0.000 8.475
0.000 0.000 13.332
0.000 0.000 3.378

***

(4)
SrLi2Cd, optimized geometry, DFT GGA-PBEsol; space-group type = I-4m2 (119); energy of formation = -0.3 eV/f.u.; density = 3.4 Mg/m³; crystal system = tetragonal; Fermi-level density of states = 2.76 states/eV/cell
1.0
-2.394 2.394 4.588
2.394 -2.394 4.588
2.394 2.394 -4.588
Sr Li Cd
1 2 1
Cartesian
0.000 0.000 0.000
2.394 0.000 2.294
0.000 0.000 4.588
0.000 2.394 2.294

***

(5)
Sr2LiCd, optimized geometry, DFT GGA-PBEsol; space-group type = F-43m (216); energy of formation = -0.1 eV/f.u.; density = 4.1 Mg/m³; crystal system = cubic; Fermi-level density of states = 4.69 states/eV/cell
1.0
0.000 3.920 3.920
3.920 0.000 3.920
3.920 3.920 0.000
Sr Li Cd
2 1 1
Cartesian
0.000 0.000 0.000
1.960 1.960 1.960
3.920 3.920 3.920
5.880 5.880 5.880

***

(6)
SrLi2Cd, optimized geometry, DFT GGA-PBEsol; space-group type = Pmmm (47); energy of formation = -0.3 eV/f.u.; density = 3.5 Mg/m³; crystal system = orthorhombic; Fermi-level density of states = 2.19 states/eV/cell
1.0
3.589 0.000 0.000
0.000 3.822 0.000
0.000 0.000 7.443
Sr Li Cd
1 2 1
Cartesian
0.000 0.000 0.000
1.794 1.911 2.382
1.794 1.911 5.061
0.000 0.000 3.722

***

(7)
Sr2Li2Cd, optimized geometry, DFT GGA-PBEsol; relative energy among the computed polymorphs = 0.0000 eV per atom; space-group type = I4/mmm (139); energy of formation = -0.3 eV/f.u.; density = 3.1 Mg/m³; crystal system = tetragonal; Fermi-level density of states = 2.75 states/eV/cell
1.0
-2.006 2.006 9.915
2.006 -2.006 9.915
2.006 2.006 -9.915
Sr Li Cd
2 2 1
Cartesian
0.000 0.000 1.932
0.000 0.000 17.897
2.006 0.000 4.957
0.000 2.006 4.957
0.000 0.000 9.915

***

(8)
SrLi2Cd, optimized geometry, DFT GGA-PBEsol; space-group type = R-3m (166); energy of formation = -0.5 eV/f.u.; density = 3.4 Mg/m³; crystal system = trigonal; Fermi-level density of states = 3.16 states/eV/cell
1.0
2.385 1.377 5.348
-2.385 1.377 5.348
0.000 -2.753 5.348
Sr Li Cd
1 2 1
Cartesian
0.000 0.000 0.000
0.000 0.000 3.313
0.000 0.000 12.732
0.000 0.000 8.023

***

(9)
SrLi2Cd, optimized geometry, DFT GGA-PBEsol; space-group type = Pmm2 (25); energy of formation = -0.5 eV/f.u.; density = 3.4 Mg/m³; crystal system = orthorhombic; Fermi-level density of states = 1.91 states/eV/cell
1.0
3.681 0.000 0.000
0.000 3.816 0.000
0.000 0.000 7.493
Sr Li Cd
1 2 1
Cartesian
0.000 0.000 0.000
0.000 0.000 3.474
1.841 1.908 4.958
1.841 1.908 2.128

***

(10)
Sr2LiTiCd, optimized geometry, DFT GGA-PBEsol; space-group type = P4/mmm (123); energy of formation = 3.2 eV/f.u.; density = 2.9 Mg/m³; crystal system = tetragonal; Fermi-level density of states = 5.87 states/eV/cell
1.0
6.075 0.000 0.000
0.000 6.075 0.000
0.000 0.000 5.257
Sr Li Ti Cd
2 1 1 1
Cartesian
0.000 3.038 0.000
3.038 0.000 0.000
0.000 0.000 2.628
3.038 3.038 0.000
3.038 3.038 2.628

***

(11)
SrLiTi2Cd, optimized geometry, DFT GGA-PBEsol; space-group type = P4/mmm (123); energy of formation = 3.5 eV/f.u.; density = 4.4 Mg/m³; crystal system = tetragonal; Fermi-level density of states = 8.74 states/eV/cell
1.0
4.807 0.000 0.000
0.000 4.807 0.000
0.000 0.000 4.900
Sr Li Ti Cd
1 1 2 1
Cartesian
0.000 0.000 0.000
2.403 2.403 2.450
0.000 2.403 2.450
2.403 0.000 2.450
2.403 2.403 0.000

***

(12)
LiTa2Cd, optimized geometry, DFT GGA-PBEsol; space-group type = Pmmm (47); energy of formation = 1.1 eV/f.u.; density = 11.6 Mg/m³; crystal system = orthorhombic; Fermi-level density of states = 2.60 states/eV/cell
1.0
3.095 0.000 0.000
0.000 4.414 0.000
0.000 0.000 5.047
Li Ta Cd
1 2 1
Cartesian
0.000 0.000 0.000
0.000 2.207 2.524
1.548 0.000 2.524
1.548 2.207 0.000